1.
Computed, not measured: a relaxed structure of MgNbNiAu at the GGA-PBE level of DFT.

Output
The value obtained for the density is 9.45 g/cm³. The energy above the most stable polymorph in this dataset is 0 meV per atom. The total magnetization comes out at 0.00 μB per atom.

```
data_MgNbNiAu
_chemical_formula_sum 'Mg4 Nb4 Ni4 Au4'
_symmetry_space_group_name_H-M 'F -4 3 m'
_symmetry_Int_Tables_number 216
_symmetry_space_group_name_Hall 'F -4 2 3'
_cell_length_a 6.398
_cell_length_b 6.398
_cell_length_c 6.398
_cell_angle_alpha 90.00
_cell_angle_beta 90.00
_cell_angle_gamma 90.00
loop_
_atom_site_label
_atom_site_fract_x
_atom_site_fract_y
_atom_site_fract_z
Mg1 0.000 0.000 0.000
Nb1 0.000 0.000 0.500
Ni1 0.250 0.250 0.250
Au1 0.250 0.250 0.750
```

2.
Computed, not measured: a relaxed structure of MgNbNiAu at the GGA-PBE level of DFT.

Output
The value obtained for the density is 9.78 g/cm³. The energy above the most stable polymorph in this dataset is 185 meV per atom. The total magnetization comes out at 0.00 μB per atom.

```
data_MgNbNiAu
_chemical_formula_sum 'Mg4 Nb4 Ni4 Au4'
_symmetry_space_group_name_H-M 'F -4 3 m'
_symmetry_Int_Tables_number 216
_symmetry_space_group_name_Hall 'F -4 2 3'
_cell_length_a 6.327
_cell_length_b 6.327
_cell_length_c 6.327
_cell_angle_alpha 90.00
_cell_angle_beta 90.00
_cell_angle_gamma 90.00
loop_
_atom_site_label
_atom_site_fract_x
_atom_site_fract_y
_atom_site_fract_z
Mg1 0.000 0.000 0.000
Nb1 0.250 0.250 0.750
Ni1 0.250 0.250 0.250
Au1 0.000 0.000 0.500
```

3.
Computed, not measured: a relaxed structure of NdMgAu at the GGA-PBE level of DFT.

Output
The calculation puts the energy at -34.649 eV per cell. The value obtained for the density is 8.33 g/cm³. The total magnetization comes out at 0.00 μB per atom.

```
data_NdMgAu
_chemical_formula_sum 'Nd3 Mg3 Au3'
_symmetry_space_group_name_H-M 'P -6 2 m'
_symmetry_Int_Tables_number 189
_symmetry_space_group_name_Hall 'P -6 -2'
_cell_length_a 7.7862
_cell_length_b 7.7862
_cell_length_c 4.1630
_cell_angle_alpha 90.00
_cell_angle_beta 90.00
_cell_angle_gamma 120.00
loop_
_atom_site_label
_atom_site_fract_x
_atom_site_fract_y
_atom_site_fract_z
Nd1 0.0000 0.5865 0.0000
Mg1 0.0000 0.2423 0.5000
Au1 0.0000 0.0000 0.0000
Au2 0.3333 0.6667 0.5000
```

4.
Computed, not measured: a relaxed structure of NdMgAu at the GGA-PBE level of DFT.

Output
The calculation puts the energy at -34.648 eV per cell. The value obtained for the density is 8.32 g/cm³. The total magnetization comes out at 0.00 μB per atom.

```
data_NdMgAu
_chemical_formula_sum 'Nd3 Mg3 Au3'
_symmetry_space_group_name_H-M 'P -6 2 m'
_symmetry_Int_Tables_number 189
_symmetry_space_group_name_Hall 'P -6 -2'
_cell_length_a 7.8047
_cell_length_b 7.8047
_cell_length_c 4.1476
_cell_angle_alpha 90.00
_cell_angle_beta 90.00
_cell_angle_gamma 120.00
loop_
_atom_site_label
_atom_site_fract_x
_atom_site_fract_y
_atom_site_fract_z
Nd1 0.0000 0.4120 0.0000
Mg1 0.0000 0.7571 0.5000
Au1 0.0000 0.0000 0.0000
Au2 0.3333 0.6667 0.5000
```

5.
Computed, not measured: a relaxed structure of Pr2NdMg3Ni2Au at the GGA-PBE level of DFT.

Output
The calculation puts the energy at -73.741 eV per cell. The value obtained for the density is 6.64 g/cm³. The total magnetization comes out at 0.00 μB per atom.

```
data_Pr2NdMg3Ni2Au
_chemical_formula_sum 'Pr4 Nd2 Mg6 Ni4 Au2'
_symmetry_space_group_name_H-M 'A m m 2'
_symmetry_Int_Tables_number 38
_symmetry_space_group_name_Hall 'A 2 -2'
_cell_length_a 4.063
_cell_length_b 13.182
_cell_length_c 7.599
_cell_angle_alpha 90.00
_cell_angle_beta 90.00
_cell_angle_gamma 90.00
loop_
_atom_site_label
_atom_site_fract_x
_atom_site_fract_y
_atom_site_fract_z
Pr1 0.000 0.211 0.000
Nd1 0.000 0.000 0.369
Mg1 0.500 0.000 0.036
Mg2 0.500 0.123 0.666
Ni1 0.500 0.166 0.290
Au1 0.000 0.000 0.788
```

6.
Computed, not measured: a relaxed structure of NdMgAuO3 at the GGA-PBE level of DFT.

Output
The calculation puts the energy at -126.831 eV per cell. The value obtained for the density is 6.39 g/cm³. The total magnetization comes out at 0.00 μB per atom.

```
data_NdMgAuO3
_chemical_formula_sum 'Nd4 Mg4 Au4 O12'
_symmetry_space_group_name_H-M 'C m c m'
_symmetry_Int_Tables_number 63
_symmetry_space_group_name_Hall '-C 2c 2'
_cell_length_a 3.446
_cell_length_b 16.228
_cell_length_c 7.689
_cell_angle_alpha 90.00
_cell_angle_beta 90.00
_cell_angle_gamma 90.00
loop_
_atom_site_label
_atom_site_fract_x
_atom_site_fract_y
_atom_site_fract_z
Nd1 0.000 0.000 0.000
Mg1 0.000 0.235 0.250
Au1 0.000 0.407 0.250
O1 0.000 0.121 0.153
O2 0.000 0.208 0.750
```

7.
Computed, not measured: a relaxed structure of Nd3Mg3Pd2Au at the GGA-PBE level of DFT.

Output
The calculation puts the energy at -38.455 eV per cell. The value obtained for the density is 7.15 g/cm³. The total magnetization comes out at 0.00 μB per atom.

```
data_Nd3Mg3Pd2Au
_chemical_formula_sum 'Nd3 Mg3 Pd2 Au1'
_symmetry_space_group_name_H-M 'P -6 2 m'
_symmetry_Int_Tables_number 189
_symmetry_space_group_name_Hall 'P -6 -2'
_cell_length_a 7.6743
_cell_length_b 7.6743
_cell_length_c 4.1658
_cell_angle_alpha 90.00
_cell_angle_beta 90.00
_cell_angle_gamma 120.00
loop_
_atom_site_label
_atom_site_fract_x
_atom_site_fract_y
_atom_site_fract_z
Nd1 0.0000 0.4157 0.0000
Mg1 0.0000 0.7557 0.5000
Pd1 0.3333 0.6667 0.5000
Au1 0.0000 0.0000 0.0000
```

8.
Computed, not measured: a relaxed structure of Nd3Mg3PdAu2 at the GGA-PBE level of DFT.

Output
The calculation puts the energy at -36.507 eV per cell. The value obtained for the density is 7.72 g/cm³. The total magnetization comes out at 0.00 μB per atom.

```
data_Nd3Mg3PdAu2
_chemical_formula_sum 'Nd3 Mg3 Pd1 Au2'
_symmetry_space_group_name_H-M 'P -6 2 m'
_symmetry_Int_Tables_number 189
_symmetry_space_group_name_Hall 'P -6 -2'
_cell_length_a 7.7595
_cell_length_b 7.7595
_cell_length_c 4.1508
_cell_angle_alpha 90.00
_cell_angle_beta 90.00
_cell_angle_gamma 120.00
loop_
_atom_site_label
_atom_site_fract_x
_atom_site_fract_y
_atom_site_fract_z
Nd1 0.0000 0.5882 0.0000
Mg1 0.0000 0.2362 0.5000
Pd1 0.0000 0.0000 0.0000
Au1 0.3333 0.6667 0.5000
```

9.
Computed, not measured: a relaxed structure of Pr2NdMg3Pd2Au at the GGA-PBE level of DFT.

Output
The calculation puts the energy at -76.853 eV per cell. The value obtained for the density is 7.07 g/cm³. The total magnetization comes out at 0.00 μB per atom.

```
data_Pr2NdMg3Pd2Au
_chemical_formula_sum 'Pr4 Nd2 Mg6 Pd4 Au2'
_symmetry_space_group_name_H-M 'A m m 2'
_symmetry_Int_Tables_number 38
_symmetry_space_group_name_Hall 'A 2 -2'
_cell_length_a 4.174
_cell_length_b 13.312
_cell_length_c 7.684
_cell_angle_alpha 90.00
_cell_angle_beta 90.00
_cell_angle_gamma 90.00
loop_
_atom_site_label
_atom_site_fract_x
_atom_site_fract_y
_atom_site_fract_z
Pr1 0.000 0.208 0.000
Nd1 0.000 0.000 0.377
Mg1 0.500 0.000 0.036
Mg2 0.500 0.121 0.670
Pd1 0.500 0.166 0.293
Au1 0.000 0.000 0.791
```

10.
Computed, not measured: a relaxed structure of Nd3Mg3PtAu2 at the GGA-PBE level of DFT.

Output
The calculation puts the energy at -38.076 eV per cell. The value obtained for the density is 8.54 g/cm³. The total magnetization comes out at 0.00 μB per atom.

```
data_Nd3Mg3PtAu2
_chemical_formula_sum 'Nd3 Mg3 Pt1 Au2'
_symmetry_space_group_name_H-M 'P -6 2 m'
_symmetry_Int_Tables_number 189
_symmetry_space_group_name_Hall 'P -6 -2'
_cell_length_a 7.6458
_cell_length_b 7.6458
_cell_length_c 4.2038
_cell_angle_alpha 90.00
_cell_angle_beta 90.00
_cell_angle_gamma 120.00
loop_
_atom_site_label
_atom_site_fract_x
_atom_site_fract_y
_atom_site_fract_z
Nd1 0.0000 0.4068 0.0000
Mg1 0.0000 0.7648 0.5000
Pt1 0.0000 0.0000 0.0000
Au1 0.3333 0.6667 0.5000
```

11.
Computed, not measured: a relaxed structure of Nd2Mg4PtAu at the GGA-PBE level of DFT.

Output
The calculation puts the energy at -59.732 eV per cell. The value obtained for the density is 6.88 g/cm³. The total magnetization comes out at 0.00 μB per atom.

```
data_Nd2Mg4PtAu
_chemical_formula_sum 'Nd4 Mg8 Pt2 Au2'
_symmetry_space_group_name_H-M 'A m m 2'
_symmetry_Int_Tables_number 38
_symmetry_space_group_name_Hall 'A 2 -2'
_cell_length_a 8.225
_cell_length_b 4.372
_cell_length_c 10.434
_cell_angle_alpha 90.00
_cell_angle_beta 90.00
_cell_angle_gamma 90.00
loop_
_atom_site_label
_atom_site_fract_x
_atom_site_fract_y
_atom_site_fract_z
Nd1 0.000 0.000 0.000
Nd2 0.500 0.000 0.120
Mg1 0.201 0.000 0.709
Mg2 0.309 0.000 0.408
Pt1 0.500 0.000 0.831
Au1 0.000 0.000 0.290
```

12.
Computed, not measured: a relaxed structure of TbNd2Mg3Pt2Au at the GGA-PBE level of DFT.

Output
The calculation puts the energy at -83.380 eV per cell. The value obtained for the density is 9.05 g/cm³. The total magnetization comes out at 0.00 μB per atom.

```
data_TbNd2Mg3Pt2Au
_chemical_formula_sum 'Tb2 Nd4 Mg6 Pt4 Au2'
_symmetry_space_group_name_H-M 'A m m 2'
_symmetry_Int_Tables_number 38
_symmetry_space_group_name_Hall 'A 2 -2'
_cell_length_a 4.098
_cell_length_b 13.081
_cell_length_c 7.583
_cell_angle_alpha 90.00
_cell_angle_beta 90.00
_cell_angle_gamma 90.00
loop_
_atom_site_label
_atom_site_fract_x
_atom_site_fract_y
_atom_site_fract_z
Tb1 0.000 0.000 0.000
Nd1 0.000 0.209 0.376
Mg1 0.500 0.000 0.335
Mg2 0.500 0.123 0.710
Pt1 0.500 0.162 0.082
Au1 0.000 0.000 0.589
```

- total magnetization of number 8 (Nd3Mg3PdAu2)?
  0.00 μB per atom